No. 1
First-principles (PBE) data for a geometry-optimized Y2TmSbC structure, as listed in the Alexandria database.

Its density is 7.0 g cm⁻³. The calculation puts the uncorrected formation energy at -3.21 eV per formula unit. The spin magnetization is 0.000 μB/atom. The calculation puts the density of states at the Fermi level at 2.8 states/eV/f.u.

a b c (Å): 4.8865 4.8865 4.7891
angles (deg): 90.00 90.00 90.00
Last column: nearest neighbours and their distance in Å.
Space group P4/mmm (No. 123)
Asymmetric unit:
Y  0.0000  0.5000  0.0000  2 C 2.44
Tm  0.0000  0.0000  0.5000  2 C 2.39
Sb  0.5000  0.5000  0.5000  8 Y 3.42, 4 Tm 3.46
C  0.0000  0.0000  0.0000  2 Tm 2.39, 4 Y 2.44

No. 2
First-principles (PBE) data for a geometry-optimized USbC structure, as listed in the Alexandria database.

Its density is 8.8 g cm⁻³. The calculation puts the uncorrected formation energy at 1.00 eV per formula unit. The spin magnetization is 0.576 μB/atom. The calculation puts the density of states at the Fermi level at 5.5 states/eV/f.u. The calculation puts the offset from the most stable computed form at 0.197 eV/atom.

a b c (Å): 4.0685 4.5169 15.3462
angles (deg): 90.00 90.00 90.00
Last column: nearest neighbours and their distance in Å.
Space group Immm (No. 71)
Asymmetric unit:
U  0.0000  0.0000  0.1225  2 C 2.33
Sb  0.0000  0.0000  0.3299  5 U 3.13-3.18
C  0.1633  0.5000  0.5000  1 C 1.33

No. 3
First-principles (PBE) data for a geometry-optimized USbC structure, as listed in the Alexandria database.

Its density is 10.5 g cm⁻³. The calculation puts the uncorrected formation energy at 0.41 eV per formula unit. The spin magnetization is 0.000 μB/atom. The calculation puts the density of states at the Fermi level at 4.7 states/eV/f.u. The calculation puts the offset from the most stable computed form at 0.000 eV/atom.

a b c (Å): 3.8729 3.8729 4.5449
angles (deg): 90.00 90.00 120.00
Last column: nearest neighbours and their distance in Å.
Space group P-6m2 (No. 187)
Asymmetric unit:
U  0.0000  0.0000  0.0000  3 C 2.24
Sb  0.6667  0.3333  0.5000  6 U 3.19, 6 C 3.19
C  0.3333  0.6667  0.0000  3 U 2.24

No. 4
First-principles (PBE) data for a geometry-optimized U3SbC2 structure, as listed in the Alexandria database.

Its density is 12.1 g cm⁻³. The calculation puts the uncorrected formation energy at -0.68 eV per formula unit. The spin magnetization is 1.153 μB/atom. The calculation puts the density of states at the Fermi level at 9.2 states/eV/f.u.

a b c (Å): 4.0615 13.4096 8.6606
angles (deg): 90.00 90.00 90.00
Last column: nearest neighbours and their distance in Å.
Space group Cmcm (No. 63)
Asymmetric unit:
U  0.0000  0.0757  0.2500  4 C 2.27-2.39
U  0.0000  0.3908  0.0429  3 C 2.31-2.53
Sb  0.0000  0.2358  0.7500  8 U 3.20-3.28, 1 C 3.55
C  0.0000  0.0000  0.0000  6 U 2.39-2.53
C  0.0000  0.4996  0.2500  4 U 2.27-2.31

No. 5
First-principles (PBE) data for a geometry-optimized U4Sb2C structure, as listed in the Alexandria database.

Its density is 12.0 g cm⁻³. The calculation puts the uncorrected formation energy at -0.65 eV per formula unit. The spin magnetization is 1.017 μB/atom. The calculation puts the density of states at the Fermi level at 22.1 states/eV/f.u.

a b c (Å): 4.6011 4.6011 15.7921
angles (deg): 90.00 90.00 90.00
Last column: nearest neighbours and their distance in Å.
Space group I4/mmm (No. 139)
Asymmetric unit:
U  0.0000  0.0000  0.1513  1 C 2.39
U  0.0000  0.5000  0.0000  2 C 2.30
Sb  0.0000  0.0000  0.3546  9 U 3.21-3.25
C  0.0000  0.0000  0.0000  6 U 2.30-2.39

No. 6
First-principles (PBE) data for a geometry-optimized V2SbC structure, as listed in the Alexandria database.

Its density is 5.6 g cm⁻³. The calculation puts the uncorrected formation energy at 1.50 eV per formula unit. The spin magnetization is 0.000 μB/atom. The calculation puts the density of states at the Fermi level at 4.3 states/eV/f.u.

a b c (Å): 5.1019 5.1019 10.6797
angles (deg): 90.00 90.00 90.00
Last column: nearest neighbours and their distance in Å.
Space group I-42d (No. 122)
Asymmetric unit:
V  0.1145  0.2500  0.1250  2 C 1.94
Sb  0.0000  0.0000  0.5000  4 V 2.70
C  0.0000  0.0000  0.0000  4 V 1.94

No. 7
First-principles (PBE) data for a geometry-optimized V2SbC structure, as listed in the Alexandria database.

Its density is 7.1 g cm⁻³. The calculation puts the uncorrected formation energy at -1.25 eV per formula unit. The spin magnetization is 0.000 μB/atom. The calculation puts the density of states at the Fermi level at 4.0 states/eV/f.u.

a b c (Å): 3.1619 3.1619 19.2012
angles (deg): 90.00 90.00 120.00
Last column: nearest neighbours and their distance in Å.
Space group R-3m (No. 166, hexagonal axes)
Asymmetric unit:
V  0.0000  0.0000  0.2165  3 C 2.06
Sb  0.0000  0.0000  0.0000  6 V 2.89, 6 Sb 3.16
C  0.0000  0.0000  0.5000  6 V 2.06

No. 8
First-principles (PBE) data for a geometry-optimized V6SbC structure, as listed in the Alexandria database.

Its density is 6.7 g cm⁻³. The calculation puts the uncorrected formation energy at -0.70 eV per formula unit. The spin magnetization is 0.000 μB/atom. The calculation puts the density of states at the Fermi level at 5.8 states/eV/f.u.

a b c (Å): 4.5968 4.8928 5.2279
angles (deg): 96.83 106.59 99.36
Last column: nearest neighbours and their distance in Å.
Space group P-1 (No. 2)
Asymmetric unit:
V  0.1171  0.2716  0.2018  1 C 2.04
V  0.2647  0.8219  0.4407  1 C 2.06
V  0.2709  0.4067  0.7580  1 C 1.98
Sb  0.5000  0.0000  0.0000  12 V 2.68-2.97
C  0.5000  0.5000  0.5000  6 V 1.98-2.06

No. 9
First-principles (PBE) data for a geometry-optimized V2SbC structure, as listed in the Alexandria database.

Its density is 7.1 g cm⁻³. The calculation puts the uncorrected formation energy at 3.95 eV per formula unit. The spin magnetization is 0.000 μB/atom. The calculation puts the density of states at the Fermi level at 4.3 states/eV/f.u.

a b c (Å): 6.0472 6.0472 6.0472
angles (deg): 90.00 90.00 90.00
Last column: nearest neighbours and their distance in Å.
Space group Fm-3m (No. 225)
Asymmetric unit:
V  0.2500  0.2500  0.2500  4 C 2.62, 4 Sb 2.62
Sb  0.0000  0.0000  0.0000  8 V 2.62
C  0.0000  0.0000  0.5000  8 V 2.62

No. 10
First-principles (PBE) data for a geometry-optimized VSb3C structure, as listed in the Alexandria database.

Its density is 5.5 g cm⁻³. The calculation puts the uncorrected formation energy at 7.32 eV per formula unit. The spin magnetization is 0.465 μB/atom. The calculation puts the density of states at the Fermi level at 2.4 states/eV/f.u.

a b c (Å): 5.0453 5.0453 5.0453
angles (deg): 90.00 90.00 90.00
Last column: nearest neighbours and their distance in Å.
Space group Pm-3m (No. 221)
Asymmetric unit:
V  0.0000  0.0000  0.0000  6 Sb 2.52
Sb  0.0000  0.0000  0.5000  2 V 2.52
C  0.5000  0.5000  0.5000  12 Sb 3.57

No. 11
First-principles (PBE) data for a geometry-optimized VSbC2 structure, as listed in the Alexandria database.

Its density is 5.6 g cm⁻³. The calculation puts the uncorrected formation energy at 3.29 eV per formula unit. The spin magnetization is 0.000 μB/atom. The calculation puts the density of states at the Fermi level at 1.8 states/eV/f.u.

a b c (Å): 4.9428 4.9428 9.5420
angles (deg): 90.00 90.00 90.00
Last column: nearest neighbours and their distance in Å.
Space group I-42d (No. 122)
Asymmetric unit:
V  0.0000  0.0000  0.0000  4 C 1.97
Sb  0.0000  0.0000  0.5000  4 C 2.28
C  0.1972  0.2500  0.1250  2 V 1.97

No. 12
First-principles (PBE) data for a geometry-optimized SbW2C structure, as listed in the Alexandria database.

Its density is 10.9 g cm⁻³. The calculation puts the uncorrected formation energy at 3.70 eV per formula unit. The spin magnetization is 0.186 μB/atom. The calculation puts the density of states at the Fermi level at 3.2 states/eV/f.u. The calculation puts the offset from the most stable computed form at 0.000 eV/atom.

a b c (Å): 5.0351 5.0351 12.0822
angles (deg): 90.00 90.00 90.00
Last column: nearest neighbours and their distance in Å.
Space group I-42d (No. 122)
Asymmetric unit:
Sb  0.0000  0.0000  0.0000  4 W 2.78
W  0.1103  0.2500  0.6250  2 C 2.04
C  0.0000  0.0000  0.5000  4 W 2.04